Entry 1:
Here is a relaxed structure of Fe2CuNi from Alexandria via LeMat-Bulk. Energies are from PBE.

- relative energy among the computed polymorphs (meV per atom) = 5
- theoretical density (g/cm3) = 8.353
- calculated total energy (eV per formula unit) = -26.6
- size of the total moment (μB/f.u.) = 6.07
- symmetry = No. 65

a = 4.441 Å, b = 4.441 Å, c = 2.529 Å
α = 90.00°, β = 90.00°, γ = 111.20°
Sites, in units of the cell vectors:
Fe (0.000, 0.500, 0.000)
Fe (0.500, 0.000, 0.000)
Cu (0.000, 0.000, 0.500)
Ni (0.500, 0.500, 0.500)

---

Entry 2:
Here is a relaxed structure of Fe2CuNi5 from Alexandria via LeMat-Bulk. Energies are from PBE.

- theoretical density (g/cm3) = 8.645
- calculated total energy (eV per formula unit) = -50.3
- size of the total moment (μB/f.u.) = 8.85
- symmetry = No. 139

a = 5.011 Å, b = 5.011 Å, c = 5.011 Å
α = 119.19°, β = 119.19°, γ = 91.40°
Sites, in units of the cell vectors:
Fe (0.000, 0.500, 0.500)
Fe (0.500, 0.000, 0.500)
Cu (0.000, 0.000, 0.000)
Ni (0.000, 0.000, 0.500)
Ni (0.000, 0.500, 0.000)
Ni (0.500, 0.000, 0.000)
Ni (0.500, 0.500, 0.000)
Ni (0.500, 0.500, 0.500)

---

Entry 3:
Here is a relaxed structure of Fe2CuNi from Alexandria via LeMat-Bulk. Energies are from PBE.

- relative energy among the computed polymorphs (meV per atom) = 17
- theoretical density (g/cm3) = 8.361
- calculated total energy (eV per formula unit) = -26.6
- size of the total moment (μB/f.u.) = 5.89
- symmetry = No. 8

a = 4.357 Å, b = 4.357 Å, c = 4.481 Å
α = 99.07°, β = 99.07°, γ = 33.62°
Sites, in units of the cell vectors:
Fe (0.000, 0.000, 0.000)
Fe (0.250, 0.250, 0.733)
Cu (0.497, 0.497, 0.492)
Ni (0.747, 0.747, 0.233)

---

Entry 4:
Here is a relaxed structure of FeCu3Ni4 from Alexandria via LeMat-Bulk. Energies are from PBE.

- theoretical density (g/cm3) = 8.799
- calculated total energy (eV per formula unit) = -43.8
- size of the total moment (μB/f.u.) = 4.77
- symmetry = No. 139

a = 7.371 Å, b = 7.371 Å, c = 7.371 Å
α = 151.53°, β = 151.53°, γ = 40.70°
Sites, in units of the cell vectors:
Fe (0.000, 0.000, 0.000)
Cu (0.251, 0.251, 0.000)
Cu (0.500, 0.500, 0.000)
Cu (0.749, 0.749, 0.000)
Ni (0.123, 0.623, 0.500)
Ni (0.377, 0.877, 0.500)
Ni (0.623, 0.123, 0.500)
Ni (0.877, 0.377, 0.500)

---

Entry 5:
Here is a relaxed structure of FeCuNi2 from Alexandria via LeMat-Bulk. Energies are from PBE.

- theoretical density (g/cm3) = 8.654
- calculated total energy (eV per formula unit) = -24.1
- size of the total moment (μB/f.u.) = 3.84
- symmetry = No. 160

a = 8.379 Å, b = 8.379 Å, c = 8.379 Å
α = 17.31°, β = 17.31°, γ = 17.31°
Sites, in units of the cell vectors:
Fe (0.000, 0.000, 0.000)
Cu (0.833, 0.833, 0.833)
Ni (0.252, 0.252, 0.252)
Ni (0.415, 0.415, 0.415)

---

Entry 6:
Here is a relaxed structure of FeCuNi2 from Alexandria via LeMat-Bulk. Energies are from PBE.

- theoretical density (g/cm3) = 8.660
- calculated total energy (eV per formula unit) = -24.1
- size of the total moment (μB/f.u.) = 3.71
- symmetry = No. 8

a = 4.387 Å, b = 4.387 Å, c = 4.355 Å
α = 99.83°, β = 99.83°, γ = 33.40°
Sites, in units of the cell vectors:
Fe (0.000, 0.000, 0.000)
Cu (0.245, 0.245, 0.732)
Ni (0.494, 0.494, 0.493)
Ni (0.749, 0.749, 0.234)